No. 1
Crystalline NaPd2Au3 at its relaxed geometry, computed with PBE-GGA.

Cell lengths 4.5502, 5.5363, 5.5363 Å; angles 120.00, 90.00, 90.00 degrees
Element x y z (fractional)
Au: 0.5000 0.5000 0.0000
Au: 0.5000 0.5000 0.5000
Au: 0.5000 0.0000 0.5000
Na: 0.0000 0.0000 0.0000
Pd: 0.0000 0.6667 0.3333
Pd: 0.0000 0.3333 0.6667

Output
For the formation energy, the calculation gives -0.145 eV per atom. As for the space group: P6/mmm, No. 191. For the offset from the most stable computed form, the calculation gives 0 meV per atom. As for the theoretical density: 11.37 g/cm³.

***

No. 2
Crystalline Na3PdAu at its relaxed geometry, computed with PBE-GGA.

Cell lengths 5.3753, 5.3753, 5.3753 Å; angles 90.00, 90.00, 90.00 degrees
Element x y z (fractional)
Pd: 0.0000 0.0000 0.0000
Au: 0.5000 0.5000 0.5000
Na: 0.0000 0.0000 0.5000
Na: 0.5000 0.0000 0.0000
Na: 0.0000 0.5000 0.0000

Output
For the formation energy, the calculation gives 0.126 eV per atom. As for the space group: Pm-3m, No. 221. For the offset from the most stable computed form, the calculation gives 202 meV per atom. As for the theoretical density: 3.98 g/cm³.

***

No. 3
Crystalline NaPd4Au at its relaxed geometry, computed with PBE-GGA.

Cell lengths 5.3014, 5.3014, 5.3014 Å; angles 60.00, 60.00, 60.00 degrees
Element x y z (fractional)
Pd: 0.6253 0.1240 0.6253
Pd: 0.6253 0.6253 0.6253
Pd: 0.6253 0.6253 0.1240
Pd: 0.1240 0.6253 0.6253
Na: 0.2500 0.2500 0.2500
Au: 0.0000 0.0000 0.0000

Output
For the formation energy, the calculation gives -0.012 eV per atom. As for the space group: F-43m, No. 216. As for the theoretical density: 10.18 g/cm³.

***

No. 4
Crystalline Na4PdAu2 at its relaxed geometry, computed with PBE-GGA.

Cell lengths 4.7832, 7.5942, 5.2750 Å; angles 111.77, 116.96, 90.00 degrees
Element x y z (fractional)
Na: 0.2479 0.8264 0.4957
Na: 0.4782 0.2806 0.9563
Na: 0.7521 0.1736 0.5043
Na: 0.5218 0.7194 0.0437
Au: 0.8075 0.6127 0.6151
Au: 0.1925 0.3873 0.3849
Pd: 0.0000 0.0000 0.0000

Output
For the formation energy, the calculation gives -0.223 eV per atom. As for the space group: C2/m, No. 12. As for the theoretical density: 6.33 g/cm³.

***

No. 5
Crystalline Na3PdAu at its relaxed geometry, computed with PBE-GGA.

Cell lengths 7.0114, 7.0114, 6.9565 Å; angles 60.64, 60.64, 77.72 degrees
Element x y z (fractional)
Au: 0.0697 0.0697 0.6281
Au: 0.9303 0.9303 0.3719
Na: 0.5667 0.5667 0.6939
Na: 0.4333 0.4333 0.3061
Na: 0.0030 0.3835 0.8385
Na: 0.3835 0.0030 0.8385
Na: 0.6165 0.9970 0.1615
Na: 0.9970 0.6165 0.1615
Pd: 0.7537 0.7537 0.8729
Pd: 0.2463 0.2463 0.1271

Output
For the formation energy, the calculation gives -0.076 eV per atom. As for the space group: C2/m, No. 12. For the offset from the most stable computed form, the calculation gives 0 meV per atom. As for the theoretical density: 4.76 g/cm³.

***

No. 6
Crystalline NaPd2Au3 at its relaxed geometry, computed with PBE-GGA.

Cell lengths 4.3945, 5.7639, 5.7639 Å; angles 120.00, 90.00, 90.00 degrees
Element x y z (fractional)
Au: 0.0000 0.5000 0.5000
Au: 0.0000 0.5000 0.0000
Au: 0.0000 0.0000 0.5000
Pd: 0.5000 0.3333 0.6667
Pd: 0.5000 0.6667 0.3333
Na: 0.0000 0.0000 0.0000

Output
For the formation energy, the calculation gives -0.031 eV per atom. As for the space group: P6/mmm, No. 191. For the offset from the most stable computed form, the calculation gives 114 meV per atom. As for the theoretical density: 10.86 g/cm³.

***

No. 7
Crystalline Na2Pd2Au at its relaxed geometry, computed with PBE-GGA.

Cell lengths 4.5677, 5.3426, 5.6301 Å; angles 118.32, 113.93, 90.00 degrees
Element x y z (fractional)
Na: 0.8010 0.3010 0.6020
Na: 0.1990 0.6990 0.3980
Pd: 0.5000 0.7425 0.0000
Pd: 0.5000 0.2575 0.0000
Au: 0.0000 0.0000 0.0000

Output
For the formation energy, the calculation gives -0.149 eV per atom. As for the space group: Immm, No. 71. For the offset from the most stable computed form, the calculation gives 0 meV per atom. As for the theoretical density: 7.05 g/cm³.

***

No. 8
Crystalline NaPd2Au4 at its relaxed geometry, computed with PBE-GGA.

Cell lengths 5.4494, 5.6437, 5.6437 Å; angles 75.78, 60.27, 60.27 degrees
Element x y z (fractional)
Au: 0.7046 0.0000 0.5887
Au: 0.2954 0.4113 0.0000
Au: 0.2954 0.0000 0.4113
Au: 0.7046 0.5887 0.0000
Pd: 0.7497 0.5003 0.5003
Pd: 0.2502 0.4997 0.4997
Na: 0.0002 0.0000 0.0000

Output
For the formation energy, the calculation gives -0.169 eV per atom. As for the space group: C2/m, No. 12. As for the theoretical density: 12.99 g/cm³.

***

No. 9
Crystalline Na2PdAu2 at its relaxed geometry, computed with PBE-GGA.

Cell lengths 3.8892, 3.8892, 7.4195 Å; angles 74.81, 74.81, 90.00 degrees
Element x y z (fractional)
Pd: 0.0000 0.0000 0.0000
Na: 0.2500 0.7500 0.5000
Na: 0.7500 0.2500 0.5000
Au: 0.5963 0.5963 0.8075
Au: 0.4037 0.4037 0.1925

Output
For the formation energy, the calculation gives 0.170 eV per atom. As for the space group: I4/mmm, No. 139. For the offset from the most stable computed form, the calculation gives 422 meV per atom. As for the theoretical density: 8.70 g/cm³.

***

No. 10
Crystalline NaPd3Au at its relaxed geometry, computed with PBE-GGA.

Cell lengths 4.5929, 4.5929, 4.5929 Å; angles 90.00, 90.00, 90.00 degrees
Element x y z (fractional)
Au: 0.5000 0.5000 0.5000
Pd: 0.5000 0.0000 0.0000
Pd: 0.0000 0.0000 0.5000
Pd: 0.0000 0.5000 0.0000
Na: 0.0000 0.0000 0.0000

Output
For the formation energy, the calculation gives 0.949 eV per atom. As for the space group: Pm-3m, No. 221. For the offset from the most stable computed form, the calculation gives 332 meV per atom. As for the theoretical density: 9.24 g/cm³.

***

No. 11
Crystalline Na2PdAu2 at its relaxed geometry, computed with PBE-GGA.

Cell lengths 4.5821, 5.5446, 5.6469 Å; angles 119.40, 113.94, 90.00 degrees
Element x y z (fractional)
Au: 0.5000 0.2573 0.0000
Au: 0.5000 0.7427 0.0000
Na: 0.1937 0.6937 0.3875
Na: 0.8063 0.3063 0.6125
Pd: 0.0000 0.0000 0.0000

Output
For the formation energy, the calculation gives -0.252 eV per atom. As for the space group: Immm, No. 71. For the offset from the most stable computed form, the calculation gives 0 meV per atom. As for the theoretical density: 8.20 g/cm³.

***

No. 12
Crystalline Na12PdAu6 at its relaxed geometry, computed with PBE-GGA.

Cell lengths 8.5713, 8.5713, 8.5713 Å; angles 109.47, 109.47, 109.47 degrees
Element x y z (fractional)
Na: 0.8267 0.7212 0.5478
Na: 0.1055 0.8267 0.2788
Na: 0.4522 0.1733 0.2788
Na: 0.1733 0.7212 0.8945
Na: 0.7212 0.5478 0.8267
Na: 0.8267 0.2788 0.1055
Na: 0.2788 0.4522 0.1733
Na: 0.5478 0.8267 0.7212
Na: 0.8945 0.1733 0.7212
Na: 0.2788 0.1055 0.8267
Na: 0.1733 0.2788 0.4522
Na: 0.7212 0.8945 0.1733
Au: 0.3595 0.5000 0.8595
Au: 0.6405 0.5000 0.1405
Au: 0.5000 0.8595 0.3595
Au: 0.8595 0.3595 0.5000
Au: 0.1405 0.6405 0.5000
Au: 0.5000 0.1405 0.6405
Pd: 0.0000 0.0000 0.0000

Output
For the formation energy, the calculation gives -0.163 eV per atom. As for the space group: Im-3, No. 204. As for the theoretical density: 5.36 g/cm³.